No. 1
The following is a PBE calculation of a relaxed Gd2MgIn crystal, from Alexandria via LeMat-Bulk.

The space group is P4/mmm (No. 123) and the conventional cell measures 4.986, 4.986 and 4.391 Å, with angles of 90.00, 90.00 and 90.00 degrees. The distinct sites, in fractional coordinates, are Gd at (0.000, 0.500, 0.000), Mg at (0.000, 0.000, 0.500) and In at (0.500, 0.500, 0.500).

For the density, the calculation gives 6.90 g cm⁻³. The formation energy comes out at -0.327 eV/atom. As for the energy above the most stable polymorph in this dataset: 18.0 meV/atom.

=====

No. 2
The following is a PBE calculation of a relaxed GdMg2In crystal, from Alexandria via LeMat-Bulk.

The space group is P4/mmm (No. 123) and the conventional cell measures 3.547, 3.547 and 8.110 Å, with angles of 90.00, 90.00 and 90.00 degrees. The distinct sites, in fractional coordinates, are Gd at (0.000, 0.000, 0.000), Mg at (0.500, 0.500, 0.278) and In at (0.000, 0.000, 0.500).

For the density, the calculation gives 5.22 g cm⁻³. The formation energy comes out at -0.128 eV/atom. As for the energy above the most stable polymorph in this dataset: 147.6 meV/atom.

=====

No. 3
The following is a PBE calculation of a relaxed GdMgIn4 crystal, from Alexandria via LeMat-Bulk.

The space group is F-43m (No. 216) and the conventional cell measures 8.573, 8.573 and 8.573 Å, with angles of 90.00, 90.00 and 90.00 degrees. The distinct sites, in fractional coordinates, are Gd at (0.000, 0.000, 0.000), Mg at (0.250, 0.250, 0.750) and In at (0.125, 0.125, 0.375).

For the density, the calculation gives 6.76 g cm⁻³. The formation energy comes out at -0.101 eV/atom.

=====

No. 4
The following is a PBE calculation of a relaxed Gd2MgIn crystal, from Alexandria via LeMat-Bulk.

The space group is R-3m (No. 166, hexagonal axes) and the conventional cell measures 3.4295, 3.4295 and 35.4784 Å, with angles of 90.00, 90.00 and 120.00 degrees. The distinct sites, in fractional coordinates, are Gd at (0.0000, 0.0000, 0.0910), Mg at (0.0000, 0.0000, 0.5000) and In at (0.0000, 0.0000, 0.0000).

For the density, the calculation gives 6.25 g cm⁻³. The formation energy comes out at 0.114 eV/atom. As for the energy above the most stable polymorph in this dataset: 459.0 meV/atom.

=====

No. 5
The following is a PBE calculation of a relaxed GdMg4In crystal, from Alexandria via LeMat-Bulk.

The space group is F-43m (No. 216) and the conventional cell measures 8.461, 8.461 and 8.461 Å, with angles of 90.00, 90.00 and 90.00 degrees. The distinct sites, in fractional coordinates, are Gd at (0.000, 0.000, 0.000), Mg at (0.125, 0.125, 0.375) and In at (0.250, 0.250, 0.750).

For the density, the calculation gives 4.05 g cm⁻³. The formation energy comes out at -0.026 eV/atom.

=====

No. 6
The following is a PBE calculation of a relaxed GdMgInNi crystal, from Alexandria via LeMat-Bulk.

The space group is F-43m (No. 216) and the conventional cell measures 6.949, 6.949 and 6.949 Å, with angles of 90.00, 90.00 and 90.00 degrees. The distinct sites, in fractional coordinates, are Gd at (0.000, 0.000, 0.000), Mg at (0.000, 0.000, 0.500), In at (0.250, 0.250, 0.250) and Ni at (0.250, 0.250, 0.750).

For the density, the calculation gives 7.03 g cm⁻³. The formation energy comes out at -0.229 eV/atom.

=====

No. 7
The following is a PBE calculation of a relaxed GdMgInPb crystal, from Alexandria via LeMat-Bulk.

The space group is F-43m (No. 216) and the conventional cell measures 7.537, 7.537 and 7.537 Å, with angles of 90.00, 90.00 and 90.00 degrees. The distinct sites, in fractional coordinates, are Gd at (0.000, 0.000, 0.000), Mg at (0.000, 0.000, 0.500), In at (0.250, 0.250, 0.750) and Pb at (0.250, 0.250, 0.250).

For the density, the calculation gives 7.81 g cm⁻³. The formation energy comes out at -0.254 eV/atom.

=====

No. 8
The following is a PBE calculation of a relaxed GdMgInPd crystal, from Alexandria via LeMat-Bulk.

The space group is F-43m (No. 216) and the conventional cell measures 7.053, 7.053 and 7.053 Å, with angles of 90.00, 90.00 and 90.00 degrees. The distinct sites, in fractional coordinates, are Gd at (0.000, 0.000, 0.000), Mg at (0.000, 0.000, 0.500), In at (0.250, 0.250, 0.250) and Pd at (0.250, 0.250, 0.750).

For the density, the calculation gives 7.63 g cm⁻³. The formation energy comes out at -0.535 eV/atom.

=====

No. 9
The following is a PBE calculation of a relaxed GdMgInPt crystal, from Alexandria via LeMat-Bulk.

The space group is F-43m (No. 216) and the conventional cell measures 7.011, 7.011 and 7.011 Å, with angles of 90.00, 90.00 and 90.00 degrees. The distinct sites, in fractional coordinates, are Gd at (0.000, 0.000, 0.000), Mg at (0.000, 0.000, 0.500), In at (0.250, 0.250, 0.250) and Pt at (0.250, 0.250, 0.750).

For the density, the calculation gives 9.47 g cm⁻³. The formation energy comes out at -0.645 eV/atom.

=====

No. 10
The following is a PBE calculation of a relaxed GdPuMgIn crystal, from Alexandria via LeMat-Bulk.

The space group is F-43m (No. 216) and the conventional cell measures 7.571, 7.571 and 7.571 Å, with angles of 90.00, 90.00 and 90.00 degrees. The distinct sites, in fractional coordinates, are Gd at (0.000, 0.000, 0.000), Pu at (0.000, 0.000, 0.500), Mg at (0.250, 0.250, 0.750) and In at (0.250, 0.250, 0.250).

For the density, the calculation gives 8.27 g cm⁻³. The formation energy comes out at -0.138 eV/atom.

=====

No. 11
The following is a PBE calculation of a relaxed GdMgInRh crystal, from Alexandria via LeMat-Bulk.

The space group is F-43m (No. 216) and the conventional cell measures 6.974, 6.974 and 6.974 Å, with angles of 90.00, 90.00 and 90.00 degrees. The distinct sites, in fractional coordinates, are Gd at (0.000, 0.000, 0.000), Mg at (0.000, 0.000, 0.500), In at (0.250, 0.250, 0.750) and Rh at (0.250, 0.250, 0.250).

For the density, the calculation gives 7.82 g cm⁻³. The formation energy comes out at -0.408 eV/atom.

=====

No. 12
The following is a PBE calculation of a relaxed SmGdMgIn crystal, from Alexandria via LeMat-Bulk.

The space group is F-43m (No. 216) and the conventional cell measures 7.618, 7.618 and 7.618 Å, with angles of 90.00, 90.00 and 90.00 degrees. The distinct sites, in fractional coordinates, are Sm at (0.000, 0.000, 0.000), Gd at (0.000, 0.000, 0.500), Mg at (0.250, 0.250, 0.250) and In at (0.250, 0.250, 0.750).

For the density, the calculation gives 6.71 g cm⁻³. The formation energy comes out at -0.331 eV/atom.

=====

No. 13
The following is a PBE calculation of a relaxed GdMgTlIn crystal, from Alexandria via LeMat-Bulk.

The space group is F-43m (No. 216) and the conventional cell measures 7.442, 7.442 and 7.442 Å, with angles of 90.00, 90.00 and 90.00 degrees. The distinct sites, in fractional coordinates, are Gd at (0.000, 0.000, 0.000), Mg at (0.000, 0.000, 0.500), Tl at (0.250, 0.250, 0.750) and In at (0.250, 0.250, 0.250).

For the density, the calculation gives 8.07 g cm⁻³. The formation energy comes out at -0.276 eV/atom.

=====

No. 14
The following is a PBE calculation of a relaxed GdTmMgIn crystal, from Alexandria via LeMat-Bulk.

The space group is F-43m (No. 216) and the conventional cell measures 7.501, 7.501 and 7.501 Å, with angles of 90.00, 90.00 and 90.00 degrees. The distinct sites, in fractional coordinates, are Gd at (0.000, 0.000, 0.000), Tm at (0.000, 0.000, 0.500), Mg at (0.250, 0.250, 0.250) and In at (0.250, 0.250, 0.750).

For the density, the calculation gives 7.32 g cm⁻³. The formation energy comes out at -0.312 eV/atom.

=====

No. 15
The following is a PBE calculation of a relaxed NdGdMnIn crystal, from Alexandria via LeMat-Bulk.

The space group is F-43m (No. 216) and the conventional cell measures 7.525, 7.525 and 7.525 Å, with angles of 90.00, 90.00 and 90.00 degrees. The distinct sites, in fractional coordinates, are Nd at (0.000, 0.000, 0.000), Gd at (0.000, 0.000, 0.500), Mn at (0.250, 0.250, 0.750) and In at (0.250, 0.250, 0.250).

For the density, the calculation gives 7.35 g cm⁻³. The formation energy comes out at -0.045 eV/atom.